The following is a DFT calculation (PBE) of crystalline Cr2ReCl at its relaxed geometry.

## Properties
- Fermi-level density of states: 2.70 states/eV/f.u.
- Energy above the lowest structure with this stoichiometry: 277.6 meV/atom
- Space-group type: No. 99

Cell: 2.9180 2.9180 7.0698 Å, 90.00 90.00 90.00°
Atoms (fractional coordinates):
Cr 0.5000 0.5000 0.2508
Cr 0.0000 0.0000 0.0274
Cl 0.5000 0.5000 0.7750
Re 0.0000 0.0000 0.4468

=====

The following is a DFT calculation (PBE) of crystalline Ba2CaHo at its relaxed geometry.

## Properties
- Fermi-level density of states: 5.69 states/eV/f.u.
- Energy above the lowest structure with this stoichiometry: 0.0 meV/atom
- Space-group type: No. 123

Cell: 4.3999 4.3999 9.8202 Å, 90.00 90.00 90.00°
Atoms (fractional coordinates):
Ho 0.5000 0.5000 0.0000
Ca 0.5000 0.5000 0.5000
Ba 0.0000 0.0000 0.2290
Ba 0.0000 0.0000 0.7710

=====

The following is a DFT calculation (PBE) of crystalline Mg5Sc4Pa at its relaxed geometry.

## Properties
- Fermi-level density of states: 12.88 states/eV/f.u.
- Space-group type: No. 123

Cell: 3.1771 3.1771 23.2199 Å, 90.00 90.00 90.00°
Atoms (fractional coordinates):
Sc 0.0000 0.0000 0.5989
Sc 0.0000 0.0000 0.7959
Sc 0.0000 0.0000 0.2041
Sc 0.0000 0.0000 0.4011
Mg 0.5000 0.5000 0.3024
Mg 0.5000 0.5000 0.8936
Mg 0.5000 0.5000 0.5000
Mg 0.5000 0.5000 0.6976
Mg 0.5000 0.5000 0.1064
Pa 0.0000 0.0000 0.0000

=====

The following is a DFT calculation (PBE) of crystalline Pm8ZnGa2 at its relaxed geometry.

## Properties
- Fermi-level density of states: 12.32 states/eV/f.u.
- Space-group type: No. 12

Cell: 5.1373 6.8437 9.7286 Å, 103.44 105.31 90.00°
Atoms (fractional coordinates):
Pm 0.2049 0.3122 0.4098
Pm 0.0203 0.7732 0.0406
Pm 0.4068 0.5317 0.8137
Pm 0.7951 0.6878 0.5902
Pm 0.9797 0.2268 0.9594
Pm 0.3403 0.0256 0.6805
Pm 0.5932 0.4683 0.1863
Pm 0.6597 0.9744 0.3195
Zn 0.5000 0.0000 0.0000
Ga 0.8154 0.2550 0.6308
Ga 0.1846 0.7450 0.3692

=====

The following is a DFT calculation (PBE) of crystalline LiCa2Ir at its relaxed geometry.

## Properties
- Fermi-level density of states: 1.99 states/eV/f.u.
- Energy above the lowest structure with this stoichiometry: 107.8 meV/atom
- Space-group type: No. 44

Cell: 6.5333 6.5333 6.5333 Å, 149.80 135.02 55.14°
Atoms (fractional coordinates):
Li 0.3232 0.8232 0.5000
Ca 0.9942 0.9942 0.0000
Ca 0.6913 0.1913 0.5000
Ir 0.4913 0.4913 0.0000

=====

The following is a DFT calculation (PBE) of crystalline SrCaSn2Ru at its relaxed geometry.

## Properties
- Fermi-level density of states: 4.30 states/eV/f.u.
- Space-group type: No. 123

Cell: 5.5062 4.8073 5.5062 Å, 90.00 90.00 90.00°
Atoms (fractional coordinates):
Sn 0.0000 0.0000 0.5000
Sn 0.5000 0.0000 0.0000
Sr 0.5000 0.5000 0.5000
Ru 0.0000 0.5000 0.0000
Ca 0.0000 0.0000 0.0000

=====

The following is a DFT calculation (PBE) of crystalline Be2ZnOs at its relaxed geometry.

## Properties
- Fermi-level density of states: 1.20 states/eV/f.u.
- Space-group type: No. 166

Cell: 7.9994 7.9994 7.9994 Å, 19.24 19.24 19.24°
Atoms (fractional coordinates):
Zn 0.7500 0.7500 0.7500
Os 0.2500 0.2500 0.2500
Be 0.5046 0.5046 0.5046
Be 0.9954 0.9954 0.9954

=====

The following is a DFT calculation (PBE) of crystalline Zr2TaBeTl at its relaxed geometry.

## Properties
- Fermi-level density of states: 3.01 states/eV/f.u.
- Space-group type: No. 123

Cell: 5.0859 5.4056 5.0859 Å, 90.00 90.00 90.00°
Atoms (fractional coordinates):
Ta 0.0000 0.0000 0.0000
Zr 0.0000 0.0000 0.5000
Zr 0.5000 0.0000 0.0000
Be 0.5000 0.5000 0.5000
Tl 0.0000 0.5000 0.0000

=====

The following is a DFT calculation (PBE) of crystalline SbN at its relaxed geometry.

## Properties
- Energy above the lowest structure with this stoichiometry: 70.3 meV/atom
- Space-group type: No. 19

Cell: 5.2034 5.4262 10.7750 Å, 90.00 90.00 90.00°
Atoms (fractional coordinates):
Sb 0.2725 0.8819 0.2458
Sb 0.7056 0.0085 0.5177
Sb 0.7725 0.6181 0.7542
Sb 0.2944 0.5085 0.9823
Sb 0.2275 0.1181 0.7458
Sb 0.7275 0.3819 0.2542
Sb 0.2056 0.4915 0.4823
Sb 0.7944 0.9915 0.0177
N 0.6381 0.0116 0.1993
N 0.8619 0.9884 0.6993
N 0.1381 0.4884 0.8007
N 0.8578 0.3196 0.4344
N 0.3578 0.1804 0.5656
N 0.6422 0.6804 0.9344
N 0.1422 0.8196 0.0656
N 0.3619 0.5116 0.3007

=====

The following is a DFT calculation (PBE) of crystalline Ag2GeSe4 at its relaxed geometry.

## Properties
- Fermi-level density of states: 7.36 states/eV/f.u.
- Space-group type: No. 121

Cell: 6.6108 6.6108 6.5366 Å, 120.38 120.38 90.00°
Atoms (fractional coordinates):
Se 0.4028 0.8501 0.2530
Se 0.8501 0.4028 0.2530
Se 0.5972 0.5972 0.7470
Se 0.1499 0.1499 0.7470
Ag 0.7500 0.2500 0.5000
Ag 0.2500 0.7500 0.5000
Ge 0.5000 0.5000 0.0000

=====

The following is a DFT calculation (PBE) of crystalline Be2HgBr at its relaxed geometry.

## Properties
- Fermi-level density of states: 3.46 states/eV/f.u.
- Energy above the lowest structure with this stoichiometry: 967.2 meV/atom
- Space-group type: No. 216

Cell: 4.8841 4.8841 4.8841 Å, 60.00 60.00 60.00°
Atoms (fractional coordinates):
Hg 0.7500 0.7500 0.7500
Be 0.0000 0.0000 0.0000
Be 0.2500 0.2500 0.2500
Br 0.5000 0.5000 0.5000

=====

The following is a DFT calculation (PBE) of crystalline BaNp2N5 at its relaxed geometry.

## Properties
- Fermi-level density of states: 6.20 states/eV/f.u.
- Space-group type: No. 71

Cell: 3.5389 6.6553 6.6553 Å, 50.20 74.58 74.58°
Atoms (fractional coordinates):
N 0.3316 0.9092 0.4277
N 0.6684 0.0908 0.5723
N 0.3316 0.4277 0.9092
N 0.0000 0.5000 0.5000
N 0.6684 0.5723 0.0908
Ba 0.0000 0.0000 0.0000
Np 0.1850 0.3150 0.3150
Np 0.8150 0.6850 0.6850

=====

Number 1: uncorrected energy -7.94 eV per atom, V 15.05 Å³ per atom. Number 2: uncorrected energy -2.41 eV per atom, V 47.53 Å³ per atom. Number 3: uncorrected energy -4.23 eV per atom, V 23.44 Å³ per atom. Number 4: uncorrected energy -4.36 eV per atom, V 29.11 Å³ per atom. Number 5: uncorrected energy -3.81 eV per atom, V 24.64 Å³ per atom. Number 6: uncorrected energy -3.53 eV per atom, V 29.15 Å³ per atom. Number 7: uncorrected energy -4.82 eV per atom, V 12.15 Å³ per atom. Number 8: uncorrected energy -5.69 eV per atom, V 27.96 Å³ per atom. Number 9: uncorrected energy -5.81 eV per atom, V 19.01 Å³ per atom. Number 10: uncorrected energy -3.51 eV per atom, V 28.53 Å³ per atom. Number 11: uncorrected energy -1.20 eV per atom, V 20.60 Å³ per atom. Number 12: uncorrected energy -9.45 eV per atom, V 14.39 Å³ per atom.